(1)
First-principles (GGA-PBE) data for a relaxed HoCd4Hg crystal, as listed in Alexandria.

Summary:
Energy of formation from the pure elements = -0.173 eV/atom
Polymorph energy (0 for the lowest one) = 3 kJ/mol of formula units

Unit cell a=4.918 b=7.326 c=10.802 alpha=90.00 beta=133.29 gamma=90.00
Atoms (fractional coordinates):
Ho 0.996 0.750 0.663
Ho 0.004 0.250 0.337
Cd 0.538 0.040 0.691
Cd 0.462 0.540 0.309
Cd 0.462 0.960 0.309
Cd 0.538 0.460 0.691
Cd 0.920 0.250 0.613
Cd 0.080 0.750 0.387
Cd 0.078 0.250 0.052
Cd 0.922 0.750 0.948
Hg 0.500 0.500 0.000
Hg 0.500 0.000 0.000


(2)
First-principles (GGA-PBE) data for a relaxed CdInBi2 crystal, as listed in Alexandria.

Summary:
Energy of formation from the pure elements = 0.114 eV/atom

Unit cell a=6.891 b=6.891 c=8.195 alpha=65.14 beta=65.14 gamma=90.00
Atoms (fractional coordinates):
Cd 0.500 0.500 0.000
Cd 0.250 0.750 0.500
Bi 0.622 0.125 0.250
Bi 0.128 0.625 0.250
Bi 0.375 0.378 0.750
Bi 0.875 0.872 0.750
In 0.000 0.000 0.000
In 0.750 0.250 0.500


(3)
First-principles (GGA-PBE) data for a relaxed HfSnSN2 crystal, as listed in Alexandria.

Summary:
Formation energy without anion corrections = 0.77 eV per atom
Polymorph energy (0 for the lowest one) = 384 kJ/mol of formula units

Unit cell a=4.028 b=4.028 c=4.947 alpha=90.00 beta=90.00 gamma=90.00
Atoms (fractional coordinates):
S 0.000 0.000 0.500
Hf 0.500 0.500 0.500
Sn 0.000 0.000 0.000
N 0.000 0.500 0.000
N 0.500 0.000 0.000


(4)
First-principles (GGA-PBE) data for a relaxed KNi2Rh2 crystal, as listed in Alexandria.

Summary:
Energy of formation from the pure elements = 0.524 eV/atom
Polymorph energy (0 for the lowest one) = 72 kJ/mol of formula units

Unit cell a=4.179 b=4.179 c=5.900 alpha=69.26 beta=69.26 gamma=90.00
Atoms (fractional coordinates):
Ni 0.380 0.380 0.240
Ni 0.620 0.620 0.760
K 0.000 0.000 0.000
Rh 0.750 0.250 0.500
Rh 0.250 0.750 0.500


(5)
First-principles (GGA-PBE) data for a relaxed Pr4NdTh3Se8 crystal, as listed in Alexandria.

Summary:
Formation energy without anion corrections = -1.72 eV per atom

Unit cell a=8.436 b=8.506 c=8.435 alpha=119.73 beta=120.00 gamma=90.00
Atoms (fractional coordinates):
Pr 0.500 0.000 0.000
Pr 0.500 0.000 0.500
Pr 0.000 0.000 0.000
Pr 0.000 0.000 0.500
Nd 0.000 0.500 0.000
Th 0.500 0.500 0.000
Th 0.500 0.500 0.500
Th 0.000 0.500 0.500
Se 0.249 0.747 0.998
Se 0.249 0.747 0.498
Se 0.251 0.252 0.501
Se 0.749 0.747 0.998
Se 0.251 0.253 0.002
Se 0.749 0.748 0.499
Se 0.751 0.253 0.502
Se 0.751 0.253 0.002


(6)
First-principles (GGA-PBE) data for a relaxed Hf4VH10 crystal, as listed in Alexandria.

Summary:
Uncorrected energy = -5.93 eV/atom

Unit cell a=4.392 b=5.740 c=5.740 alpha=81.58 beta=67.51 gamma=67.51
Atoms (fractional coordinates):
Hf 0.396 0.807 0.401
Hf 0.797 0.599 0.807
Hf 0.203 0.401 0.193
Hf 0.604 0.193 0.599
V 0.000 0.000 0.000
H 0.250 0.500 0.500
H 0.667 0.284 0.903
H 0.049 0.097 0.284
H 0.430 0.903 0.716
H 0.853 0.716 0.097
H 0.333 0.716 0.097
H 0.750 0.500 0.500
H 0.147 0.284 0.903
H 0.570 0.097 0.284
H 0.951 0.903 0.716


(7)
First-principles (GGA-PBE) data for a relaxed ReTe3 crystal, as listed in Alexandria.

Summary:
Formation energy without anion corrections = 0.88 eV per atom
Polymorph energy (0 for the lowest one) = 259 kJ/mol of formula units

Unit cell a=5.050 b=5.050 c=5.050 alpha=109.47 beta=109.47 gamma=109.47
Atoms (fractional coordinates):
Re 0.000 0.000 0.000
Te 0.000 0.500 0.500
Te 0.500 0.000 0.500
Te 0.500 0.500 0.000


(8)
First-principles (GGA-PBE) data for a relaxed Rb3Ir2O8 crystal, as listed in Alexandria.

Summary:
Formation energy without anion corrections = -0.96 eV per atom

Unit cell a=6.292 b=6.292 c=8.456 alpha=68.16 beta=68.16 gamma=60.00
Atoms (fractional coordinates):
Rb 0.000 0.000 0.000
Rb 0.201 0.201 0.397
Rb 0.799 0.799 0.603
Ir 0.405 0.405 0.786
Ir 0.595 0.595 0.214
O 0.326 0.326 0.021
O 0.674 0.674 0.979
O 0.277 0.745 0.701
O 0.745 0.277 0.701
O 0.277 0.277 0.701
O 0.255 0.723 0.299
O 0.723 0.255 0.299
O 0.723 0.723 0.299


(9)
First-principles (GGA-PBE) data for a relaxed Al2InRu crystal, as listed in Alexandria.

Summary:
Energy of formation from the pure elements = -0.294 eV/atom

Unit cell a=3.038 b=3.037 c=7.939 alpha=78.36 beta=90.00 gamma=90.00
Atoms (fractional coordinates):
Ru 0.500 0.750 0.750
Al 0.000 0.152 0.930
Al 0.000 0.348 0.570
In 0.500 0.250 0.250


(10)
First-principles (GGA-PBE) data for a relaxed Sr2AsPb crystal, as listed in Alexandria.

Summary:
Energy of formation from the pure elements = -0.182 eV/atom
Polymorph energy (0 for the lowest one) = 208 kJ/mol of formula units

Unit cell a=5.642 b=5.642 c=5.642 alpha=60.00 beta=60.00 gamma=60.00
Atoms (fractional coordinates):
Pb 0.750 0.750 0.750
Sr 0.000 0.000 0.000
Sr 0.250 0.250 0.250
As 0.500 0.500 0.500


(11)
First-principles (GGA-PBE) data for a relaxed CrNi3Pt7 crystal, as listed in Alexandria.

Summary:
Energy of formation from the pure elements = 0.172 eV/atom

Unit cell a=4.625 b=6.485 c=6.485 alpha=90.14 beta=110.96 gamma=110.96
Atoms (fractional coordinates):
Cr 0.500 0.500 0.500
Ni 0.000 0.768 0.232
Ni 0.500 0.000 0.000
Ni 0.000 0.232 0.768
Pt 0.176 0.174 0.174
Pt 0.333 0.072 0.593
Pt 0.667 0.407 0.928
Pt 0.333 0.593 0.072
Pt 0.000 0.500 0.500
Pt 0.667 0.928 0.407
Pt 0.824 0.826 0.826


(12)
First-principles (GGA-PBE) data for a relaxed TaTlBr2 crystal, as listed in Alexandria.

Summary:
Formation energy without anion corrections = 0.52 eV per atom
Polymorph energy (0 for the lowest one) = 280 kJ/mol of formula units

Unit cell a=3.306 b=5.910 c=4.907 alpha=90.00 beta=90.00 gamma=90.00
Atoms (fractional coordinates):
Tl 0.000 0.500 0.500
Br 0.000 0.000 0.000
Br 0.500 0.500 0.000
Ta 0.500 0.000 0.500


(13)
First-principles (GGA-PBE) data for a relaxed LaTcOs2 crystal, as listed in Alexandria.

Summary:
Energy of formation from the pure elements = 0.534 eV/atom
Polymorph energy (0 for the lowest one) = 93 kJ/mol of formula units

Unit cell a=10.042 b=10.042 c=10.042 alpha=16.28 beta=16.28 gamma=16.28
Atoms (fractional coordinates):
La 0.250 0.250 0.250
Os 0.012 0.012 0.012
Os 0.488 0.488 0.488
Tc 0.750 0.750 0.750


(14)
First-principles (GGA-PBE) data for a relaxed LaPm7Al4 crystal, as listed in Alexandria.

Summary:
Energy of formation from the pure elements = -0.074 eV/atom

Unit cell a=5.657 b=9.339 c=7.592 alpha=77.75 beta=68.12 gamma=72.37
Atoms (fractional coordinates):
La 0.000 0.000 0.000
Pm 0.793 0.878 0.536
Pm 0.207 0.122 0.464
Pm 0.065 0.611 0.258
Pm 0.935 0.389 0.742
Pm 0.298 0.643 0.761
Pm 0.500 0.000 0.000
Pm 0.702 0.357 0.239
Al 0.552 0.240 0.656
Al 0.448 0.760 0.344
Al 0.676 0.669 0.979
Al 0.324 0.331 0.021


(15)
First-principles (GGA-PBE) data for a relaxed Hf4NbN crystal, as listed in Alexandria.

Summary:
Formation energy without anion corrections = -0.35 eV per atom

Unit cell a=6.157 b=6.010 c=6.175 alpha=90.00 beta=97.35 gamma=90.00
Atoms (fractional coordinates):
Hf 0.909 0.625 0.177
Hf 0.591 0.125 0.823
Hf 0.314 0.325 0.400
Hf 0.186 0.825 0.600
Hf 0.091 0.375 0.823
Hf 0.409 0.875 0.177
Hf 0.686 0.675 0.600
Hf 0.814 0.175 0.400
Nb 0.000 0.000 0.000
Nb 0.500 0.500 0.000
N 0.500 0.000 0.500
N 0.000 0.500 0.500


(16)
First-principles (GGA-PBE) data for a relaxed Ta2CoRh crystal, as listed in Alexandria.

Summary:
Energy of formation from the pure elements = -0.290 eV/atom

Unit cell a=4.468 b=2.835 c=4.877 alpha=81.92 beta=90.00 gamma=90.00
Atoms (fractional coordinates):
Co 0.000 0.656 0.438
Rh 0.500 0.596 0.799
Ta 0.000 0.023 0.938
Ta 0.500 0.226 0.325


(17)
First-principles (GGA-PBE) data for a relaxed MgRu2 crystal, as listed in Alexandria.

Summary:
Energy of formation from the pure elements = 0.220 eV/atom

Unit cell a=4.300 b=4.299 c=2.751 alpha=90.01 beta=90.00 gamma=120.01
Atoms (fractional coordinates):
Mg 0.000 0.000 0.000
Ru 0.667 0.333 0.313
Ru 0.333 0.667 0.687


(18)
First-principles (GGA-PBE) data for a relaxed ThUNi4 crystal, as listed in Alexandria.

Summary:
Energy of formation from the pure elements = -0.244 eV/atom

Unit cell a=5.090 b=5.090 c=5.090 alpha=60.00 beta=60.00 gamma=60.00
Atoms (fractional coordinates):
Ni 0.624 0.624 0.128
Ni 0.624 0.128 0.624
Ni 0.624 0.624 0.624
Ni 0.128 0.624 0.624
U 0.250 0.250 0.250
Th 0.000 0.000 0.000


(19)
First-principles (GGA-PBE) data for a relaxed PRhBr2 crystal, as listed in Alexandria.

Summary:
Formation energy without anion corrections = 0.17 eV per atom
Polymorph energy (0 for the lowest one) = 263 kJ/mol of formula units

Unit cell a=7.930 b=7.930 c=7.930 alpha=154.46 beta=154.86 gamma=36.14
Atoms (fractional coordinates):
Br 0.099 0.099 0.000
Br 0.401 0.401 0.000
P 0.750 0.250 0.500
Rh 0.250 0.750 0.500


(20)
First-principles (GGA-PBE) data for a relaxed Zr2ReIr crystal, as listed in Alexandria.

Summary:
Energy of formation from the pure elements = -0.214 eV/atom

Unit cell a=4.391 b=2.919 c=5.654 alpha=80.87 beta=90.00 gamma=90.00
Atoms (fractional coordinates):
Ir 0.500 0.250 0.250
Re 0.500 0.750 0.750
Zr 0.000 0.980 0.997
Zr 0.000 0.520 0.503